[1]
Entry from the Alexandria database: NdDyAu2 after structural relaxation (PBE).

Structure (extended XYZ):
```
4
Lattice="3.6255 0.0000 0.0000 0.0000 3.6255 0.0000 0.0000 0.0000 7.4318" Properties=species:S:1:pos:R:3 pbc="T T T"
Nd 1.8128 1.8128 3.7159
Au 0.0000 0.0000 1.7012
Au 0.0000 0.0000 5.7306
Dy 1.8128 1.8128 0.0000
```

Calculated values
SG: P4/mmm (123)
Uncorrected energy, eV per atom: -4.800
Spin magnetization, μB/cell: 0.00
Mass density, g cm⁻³: 11.91
Formation energy, eV per atom: -0.818

***

[2]
Entry from the Alexandria database: NdDyAu after structural relaxation (PBE).

Structure (extended XYZ):
```
3
Lattice="-2.4421 1.2483 -2.4127 -2.0156 -3.0078 0.4839 -0.9035 3.7257 5.6075" Properties=species:S:1:pos:R:3 pbc="T T T"
Nd -0.1053 0.0957 0.1561
Au -3.3415 0.1313 0.6850
Dy -1.9143 1.7393 2.8376
```

Calculated values
SG: I4mm (107)
Offset from the most stable computed form, meV per atom: 85
Uncorrected energy, eV per atom: -4.729
Spin magnetization, μB/cell: 0.69
Mass density, g cm⁻³: 9.98
Formation energy, eV per atom: -0.513

***

[3]
Entry from the Alexandria database: Nd2Dy3Au2 after structural relaxation (PBE).

Structure (extended XYZ):
```
7
Lattice="-0.7060 -3.6739 0.4422 6.5264 0.4906 -1.5513 -2.1300 1.4783 8.8816" Properties=species:S:1:pos:R:3 pbc="T T T"
Dy -0.3530 -1.8370 0.2211
Dy 0.1106 -1.4853 3.8829
Dy 3.5798 -0.2197 3.8896
Nd 3.5549 -2.5002 0.9494
Nd 0.1355 0.7952 6.8231
Au 2.1513 -1.6070 6.1301
Au 1.5391 -0.0981 1.6424
```

Calculated values
SG: C2/m (12)
Uncorrected energy, eV per atom: -4.770
Spin magnetization, μB/cell: 0.00
Mass density, g cm⁻³: 9.67
Formation energy, eV per atom: -0.499

***

[4]
Entry from the Alexandria database: Nd2Dy2Au3 after structural relaxation (PBE).

Structure (extended XYZ):
```
14
Lattice="-4.6144 1.5205 -6.1819 -3.5120 -5.2712 4.6584 1.2541 6.6343 4.0291" Properties=species:S:1:pos:R:3 pbc="T T T"
Nd -2.9261 2.2073 0.5763
Nd -3.3052 1.1790 -2.7271
Nd 0.4449 2.3537 1.4294
Nd -5.7003 -1.3359 -2.9549
Dy -3.4353 -2.0823 0.0794
Dy -2.0640 1.0739 4.6846
Dy 1.0835 5.7316 3.4808
Dy -4.7142 -0.4766 2.9481
Au -5.2164 0.3524 -0.0951
Au -4.3746 2.6903 3.1850
Au -1.1175 4.9384 1.3067
Au -4.1778 4.2707 -1.7559
Au -1.6915 -0.1794 1.9606
Au -4.0389 -3.4216 2.9153
```

Calculated values
SG: I2_13 (199)
Uncorrected energy, eV per atom: -4.716
Spin magnetization, μB/cell: 0.00
Mass density, g cm⁻³: 10.69
Formation energy, eV per atom: -0.635

***

[5]
Entry from the Alexandria database: NdDy2Au4 after structural relaxation (PBE).

Structure (extended XYZ):
```
7
Lattice="5.0966 0.0000 0.0000 0.0000 5.0966 0.0000 0.0000 0.0000 6.8988" Properties=species:S:1:pos:R:3 pbc="T T T"
Dy 0.0000 0.0000 0.0000
Dy 2.5483 2.5483 3.4494
Au 2.5483 0.0000 5.1273
Au 0.0000 2.5483 1.7715
Au 2.5483 0.0000 1.7715
Au 0.0000 2.5483 5.1273
Nd 2.5483 2.5483 0.0000
```

Calculated values
SG: P4/mmm (123)
Uncorrected energy, eV per atom: -4.486
Spin magnetization, μB/cell: 0.00
Mass density, g cm⁻³: 11.65
Formation energy, eV per atom: -0.618

***

[6]
Entry from the Alexandria database: NdDyAu2 after structural relaxation (PBE).

Structure (extended XYZ):
```
4
Lattice="3.5760 0.0000 -1.3060 0.0000 4.7510 0.0000 0.1208 0.0000 5.9070" Properties=species:S:1:pos:R:3 pbc="T T T"
Au 0.7198 2.3755 4.9826
Au 3.6271 0.0000 1.8425
Nd 1.6365 2.3755 1.9367
Dy 2.6927 0.0000 4.8397
```

Calculated values
SG: Pm (6)
Uncorrected energy, eV per atom: -4.815
Spin magnetization, μB/cell: 0.00
Mass density, g cm⁻³: 11.51
Formation energy, eV per atom: -0.834

***

[7]
Entry from the Alexandria database: NdDy2Au after structural relaxation (PBE).

Structure (extended XYZ):
```
4
Lattice="3.7822 0.0000 0.0000 1.8911 3.2755 0.0000 1.8911 1.0918 9.8557" Properties=species:S:1:pos:R:3 pbc="T T T"
Au 3.7822 2.1837 0.0238
Nd 3.7822 2.1837 4.8961
Dy 1.8911 1.0918 1.9966
Dy 1.8911 1.0918 7.8671
```

Calculated values
SG: R3m (160)
Offset from the most stable computed form, meV per atom: 135
Uncorrected energy, eV per atom: -4.603
Spin magnetization, μB/cell: 0.00
Mass density, g cm⁻³: 9.06
Formation energy, eV per atom: -0.291

***

[8]
Entry from the Alexandria database: NdDyAu6 after structural relaxation (PBE).

Structure (extended XYZ):
```
8
Lattice="-1.0202 4.5272 -1.0763 -2.5609 2.7166 3.3111 6.8108 4.5662 2.2077" Properties=species:S:1:pos:R:3 pbc="T T T"
Au 3.9768 6.3648 1.9162
Au 1.8513 6.3911 4.0417
Au 3.6396 9.1009 3.2013
Au -0.7471 5.4452 2.5262
Au 1.3784 5.4189 0.4008
Au -0.4100 2.7092 1.2412
Nd 2.1249 3.6414 2.7594
Dy 0.0000 0.0000 0.0000
```

Calculated values
SG: C2/m (12)
Uncorrected energy, eV per atom: -4.279
Spin magnetization, μB/cell: 0.00
Mass density, g cm⁻³: 14.58
Formation energy, eV per atom: -0.650

***

[9]
Entry from the Alexandria database: NdDy2Au6 after structural relaxation (PBE).

Structure (extended XYZ):
```
18
Lattice="5.2789 0.2123 0.6256 0.8219 8.5697 2.2957 0.3972 -0.3192 8.8953" Properties=species:S:1:pos:R:3 pbc="T T T"
Au 2.2828 6.5402 2.0876
Au 1.8895 8.3813 4.5421
Au 3.2416 5.7542 5.7310
Au 1.1046 3.0363 1.8126
Au 4.2153 1.9226 9.7290
Au 5.7793 3.7308 7.6249
Au 3.2565 2.7085 6.0856
Au 3.6368 0.8981 3.7918
Au 5.3935 5.4264 10.0040
Au 2.8613 7.5647 8.0249
Au 4.6086 0.0815 7.2745
Au 0.7188 4.7320 4.1918
Nd 1.7703 0.8500 8.2230
Nd 4.7278 7.6128 3.5936
Dy 0.8067 1.6659 4.5988
Dy 3.5513 3.9734 3.2772
Dy 2.9468 4.4894 8.5394
Dy 5.6914 6.7969 7.2179
```

Calculated values
SG: C2/c (15)
Uncorrected energy, eV per atom: -4.464
Spin magnetization, μB/cell: 0.00
Mass density, g cm⁻³: 13.62
Formation energy, eV per atom: -0.726

***

[10]
Entry from the Alexandria database: NdDyAu after structural relaxation (PBE).

Structure (extended XYZ):
```
3
Lattice="-0.9648 -0.3272 4.9534 2.6706 -3.1747 2.8919 3.3240 1.8190 3.3490" Properties=species:S:1:pos:R:3 pbc="T T T"
Au 1.2574 -0.4207 2.7986
Nd 2.5149 -0.8415 5.5971
Dy 0.0000 0.0000 0.0000
```

Calculated values
SG: F-43m (216)
Offset from the most stable computed form, meV per atom: 202
Uncorrected energy, eV per atom: -4.612
Spin magnetization, μB/cell: 0.00
Mass density, g cm⁻³: 9.15
Formation energy, eV per atom: -0.396

***

[11]
Entry from the Alexandria database: NdDyAu4 after structural relaxation (PBE).

Structure (extended XYZ):
```
6
Lattice="-4.5679 -1.1163 0.7354 2.1192 -1.2238 -4.0822 -0.5155 -8.3923 -0.5273" Properties=species:S:1:pos:R:3 pbc="T T T"
Au -3.0630 -3.9062 -1.7841
Au 0.0772 -6.7911 -2.0640
Au -2.1533 -6.7548 -0.4579
Au -0.8323 -3.9427 -3.3902
Nd -1.7506 -9.5449 -2.1876
Dy 1.8508 -5.4024 -4.3328
```

Calculated values
SG: P6/mmm (191)
Offset from the most stable computed form, meV per atom: 54
Uncorrected energy, eV per atom: -4.506
Spin magnetization, μB/cell: 0.00
Mass density, g cm⁻³: 13.33
Formation energy, eV per atom: -0.759

***

[12]
Entry from the Alexandria database: Nd3DyAu7 after structural relaxation (PBE).

Structure (extended XYZ):
```
22
Lattice="-0.5977 3.7423 -0.4035 -9.2372 -3.9470 -4.9243 -6.2144 0.2433 11.4623" Properties=species:S:1:pos:R:3 pbc="T T T"
Au -12.5663 -1.7999 1.9218
Au -8.0762 1.0862 4.0395
Au -5.7227 -1.1357 -2.0556
Au -3.4830 1.8385 4.2127
Au -10.3265 1.1743 8.1901
Au -7.5215 1.6761 8.6883
Au -4.1528 1.4313 1.4273
Au -14.6026 -1.7202 5.6779
Au -1.4467 1.7588 0.4566
Au -9.9304 -1.5825 0.0332
Au -6.1189 1.6212 6.1013
Au -7.9730 -1.0476 2.0950
Au -11.8965 -1.3926 4.7072
Au -8.5278 -1.6374 -2.5538
Nd -5.4125 -0.4668 3.6885
Nd -7.7116 0.6566 -0.4857
Nd -2.9798 -0.5620 -0.7984
Nd -10.6368 0.5054 2.4460
Nd -13.0694 0.6007 6.9329
Nd -8.3377 -0.6179 6.6202
Dy -11.3190 -0.1287 -2.4248
Dy -4.7302 0.1673 8.5593
```

Calculated values
SG: Cmcm (63)
Uncorrected energy, eV per atom: -4.513
Spin magnetization, μB/cell: 0.00
Mass density, g cm⁻³: 11.97
Formation energy, eV per atom: -0.709

***

[13]
Entry from the Alexandria database: Nd4DyAu5 after structural relaxation (PBE).

Structure (extended XYZ):
```
10
Lattice="-2.2731 -0.9792 -2.7065 2.8521 -0.3035 -2.2856 1.9734 -17.9894 4.8511" Properties=species:S:1:pos:R:3 pbc="T T T"
Dy 0.0000 0.0000 0.0000
Nd 1.5856 -14.4547 3.8979
Nd 1.1860 -10.8122 2.9156
Nd 0.7873 -7.1773 1.9354
Nd 0.3877 -3.5347 0.9532
Au 0.8774 -6.0005 -1.0509
Au 1.2762 -9.6360 -0.0705
Au 2.0830 -16.9913 1.9129
Au 1.6750 -13.2716 0.9098
Au 0.4693 -2.2808 -2.0540
```

Calculated values
SG: P4/mmm (123)
Uncorrected energy, eV per atom: -4.790
Spin magnetization, μB/cell: 0.00
Mass density, g cm⁻³: 11.36
Formation energy, eV per atom: -0.784

***

[14]
Entry from the Alexandria database: NdDy2Au3 after structural relaxation (PBE).

Structure (extended XYZ):
```
6
Lattice="-1.7981 3.1219 -0.2516 0.1592 -0.1986 -3.6025 -9.5760 -5.5250 -0.1185" Properties=species:S:1:pos:R:3 pbc="T T T"
Au 0.0000 0.0000 0.0000
Au -3.0506 -1.7601 -0.0378
Au -6.5253 -3.7649 -0.0808
Dy -2.3815 0.5604 -1.9464
Dy -8.8334 -3.1621 -2.0262
Nd -5.6074 -1.3008 -1.9863
```

Calculated values
SG: P4/mmm (123)
Uncorrected energy, eV per atom: -4.801
Spin magnetization, μB/cell: 0.00
Mass density, g cm⁻³: 12.21
Formation energy, eV per atom: -0.833

***

[15]
Entry from the Alexandria database: Nd2DyAu after structural relaxation (PBE).

Structure (extended XYZ):
```
16
Lattice="6.7571 0.0000 0.0000 0.0000 7.1392 0.0000 0.0000 0.0000 10.1266" Properties=species:S:1:pos:R:3 pbc="T T T"
Au 6.4684 4.2660 7.5950
Au 3.6673 0.6964 7.5950
Au 0.2887 2.8733 2.5317
Au 3.0898 6.4429 2.5317
Nd 4.6314 5.7324 9.5720
Nd 5.5043 2.1628 9.5720
Nd 2.1257 1.4068 0.5546
Nd 1.2528 4.9764 0.5546
Nd 5.5043 2.1628 5.6179
Nd 2.1257 1.4068 4.5087
Nd 4.6314 5.7324 5.6179
Nd 1.2528 4.9764 4.5087
Dy 4.2533 3.7077 2.5317
Dy 0.8747 7.0011 7.5950
Dy 5.8824 0.1381 2.5317
Dy 2.5038 3.4315 7.5950
```

Calculated values
SG: Pnma (62)
Offset from the most stable computed form, meV per atom: 3
Uncorrected energy, eV per atom: -4.752
Spin magnetization, μB/cell: 0.00
Mass density, g cm⁻³: 8.81
Formation energy, eV per atom: -0.399

***

[16]
Entry from the Alexandria database: Nd2DyAu6 after structural relaxation (PBE).

Structure (extended XYZ):
```
9
Lattice="5.5339 0.0000 0.0000 0.0000 5.7822 -3.3384 0.0000 0.0000 6.6767" Properties=species:S:1:pos:R:3 pbc="T T T"
Au 4.5580 4.6903 1.4471
Au 0.9759 1.0919 4.7854
Au 0.9759 1.0919 1.8913
Au 4.5580 2.1839 0.0000
Au 4.5580 4.6903 -1.4471
Au 0.9759 3.5983 3.3383
Dy 2.7670 0.0000 0.0000
Nd 3.6792 1.9274 3.3384
Nd 1.8547 3.8548 0.0000
```

Calculated values
SG: P-3m1 (164)
Uncorrected energy, eV per atom: -4.390
Spin magnetization, μB/cell: 0.00
Mass density, g cm⁻³: 12.69
Formation energy, eV per atom: -0.634

***

[17]
Entry from the Alexandria database: Nd2DyAu after structural relaxation (PBE).

Structure (extended XYZ):
```
4
Lattice="3.7738 0.0000 0.0000 1.8869 3.2682 0.0000 1.8869 1.0894 10.1519" Properties=species:S:1:pos:R:3 pbc="T T T"
Nd 1.8869 1.0894 7.9542
Nd 1.8869 1.0894 2.1936
Dy 3.7738 2.1788 5.0915
Au 5.6607 3.2682 10.1406
```

Calculated values
SG: R3m (160)
Offset from the most stable computed form, meV per atom: 170
Uncorrected energy, eV per atom: -4.586
Spin magnetization, μB/cell: 0.00
Mass density, g cm⁻³: 8.59
Formation energy, eV per atom: -0.232

***

[18]
Entry from the Alexandria database: NdDyNiAu after structural relaxation (PBE).

Structure (extended XYZ):
```
4
Lattice="3.8647 0.0000 0.0000 0.0000 4.6190 0.0000 -1.9323 0.0000 5.2469" Properties=species:S:1:pos:R:3 pbc="T T T"
Au 1.9323 2.3095 0.7932
Dy 1.9323 2.3095 3.8046
Nd 0.0000 0.0000 1.5035
Ni 0.0000 0.0000 4.3926
```

Calculated values
SG: Amm2 (38)
Offset from the most stable computed form, meV per atom: 0
Uncorrected energy, eV per atom: -5.186
Spin magnetization, μB/cell: 0.00
Mass density, g cm⁻³: 9.97
Formation energy, eV per atom: -0.579

***

[19]
Entry from the Alexandria database: NdDyNiAu after structural relaxation (PBE).

Structure (extended XYZ):
```
4
Lattice="5.0466 0.0000 0.0000 2.5233 4.3705 0.0000 2.5233 1.4568 4.1205" Properties=species:S:1:pos:R:3 pbc="T T T"
Ni 2.5233 1.4568 1.0301
Dy 0.0000 0.0000 0.0000
Au 7.5699 4.3705 3.0904
Nd 5.0466 2.9137 2.0603
```

Calculated values
SG: F-43m (216)
Offset from the most stable computed form, meV per atom: 61
Uncorrected energy, eV per atom: -5.125
Spin magnetization, μB/cell: 0.00
Mass density, g cm⁻³: 10.28
Formation energy, eV per atom: -0.518

***

[20]
Entry from the Alexandria database: NdDyOsAu after structural relaxation (PBE).

Structure (extended XYZ):
```
4
Lattice="-4.0685 -2.8648 -0.7277 0.5003 -4.9640 -0.6314 -1.5275 -3.1595 3.6020" Properties=species:S:1:pos:R:3 pbc="T T T"
Nd -1.2739 -2.7471 0.5607
Os -2.5479 -5.4941 1.1214
Au 0.0000 0.0000 0.0000
Dy -3.8218 -8.2412 1.6822
```

Calculated values
SG: F-43m (216)
Uncorrected energy, eV per atom: -6.340
Spin magnetization, μB/cell: 0.00
Mass density, g cm⁻³: 12.81
Formation energy, eV per atom: -0.371